[1]
# TiSnTe2

An optimized crystal structure of TiSnTe2 (PBE, Alexandria).

Summary:
Formation energy (no corrections) = 0.332 eV/atom
Volume = 27.05 Å³ per atom
Magnetic moment = 0.816 Bohr magnetons per cell

Unit cell a=11.3300 b=11.3300 c=11.3300 alpha=16.98 beta=16.98 gamma=16.98
Last column: nearest neighbours and their distance in Å.
Element x y z (fractional)
Ti: 0.0000 0.0000 0.0000  2 Te 2.71
Sn: 0.5000 0.5000 0.5000  6 Sn 3.35, 6 Te 3.46
Te: 0.0810 0.0810 0.0810  1 Ti 2.71
Te: 0.9190 0.9190 0.9190  1 Ti 2.71



[2]
# Ga2HgPtBr

An optimized crystal structure of Ga2HgPtBr (PBE, Alexandria).

Summary:
Formation energy (no corrections) = -0.410 eV/atom
Volume = 25.80 Å³ per atom
Magnetic moment = 0.000 Bohr magnetons per cell

Unit cell a=4.8960 b=4.8960 c=5.3815 alpha=90.00 beta=90.00 gamma=90.00
Last column: nearest neighbours and their distance in Å.
Element x y z (fractional)
Ga: 0.0000 0.5000 0.0000  2 Pt 2.45
Ga: 0.5000 0.0000 0.0000  2 Pt 2.45
Hg: 0.0000 0.0000 0.5000  2 Pt 2.69
Pt: 0.0000 0.0000 0.0000  4 Ga 2.45, 2 Hg 2.69
Br: 0.5000 0.5000 0.5000  4 Hg 3.46, 8 Ga 3.64



[3]
# Rb2TlGeI6

An optimized crystal structure of Rb2TlGeI6 (PBE, Alexandria).

Summary:
Offset from the most stable computed form = 0.020 eV per atom
Formation energy (no corrections) = -0.780 eV/atom
Volume = 45.80 Å³ per atom
Magnetic moment = 0.000 Bohr magnetons per cell

Unit cell a=8.6482 b=8.6482 c=8.6482 alpha=119.91 beta=119.91 gamma=90.16
Last column: nearest neighbours and their distance in Å.
Element x y z (fractional)
Rb: 0.2500 0.7500 0.5000  12 I 4.33
Rb: 0.7500 0.2500 0.5000  12 I 4.33
Tl: 0.0000 0.0000 0.0000  6 I 3.19-3.20
Ge: 0.5000 0.5000 0.0000  6 I 2.91-2.92
I: 0.2616 0.2616 0.0000  1 Ge 2.91, 1 Tl 3.19
I: 0.2617 0.2617 0.5233  1 Ge 2.92, 1 Tl 3.20
I: 0.2617 0.7383 0.0000  1 Ge 2.92, 1 Tl 3.20
I: 0.7383 0.2617 0.0000  1 Ge 2.92, 1 Tl 3.20
I: 0.7384 0.7384 0.0000  1 Ge 2.91, 1 Tl 3.19
I: 0.7383 0.7383 0.4767  1 Ge 2.92, 1 Tl 3.20



[4]
# Nd2Np2Rh15

An optimized crystal structure of Nd2Np2Rh15 (PBE, Alexandria).

Summary:
Volume = 17.01 Å³ per atom
Magnetic moment = 0.000 Bohr magnetons per cell
Calculated total energy = -7.97 eV/atom

Unit cell a=6.9226 b=6.9226 c=6.9226 alpha=82.17 beta=82.17 gamma=82.17
Last column: nearest neighbours and their distance in Å.
Element x y z (fractional)
Nd: 0.1469 0.1469 0.1469  12 Rh 3.15-3.38
Nd: 0.8531 0.8531 0.8531  12 Rh 3.15-3.38
Np: 0.4144 0.4144 0.4144  1 Np 2.32
Np: 0.5856 0.5856 0.5856  1 Np 2.32
Rh: 0.0000 0.5000 0.5000  8 Rh 2.62-2.67, 2 Np 2.85
Rh: 0.1595 0.1595 0.6556  8 Rh 2.62-2.76, 1 Np 2.87
Rh: 0.1595 0.6556 0.1595  8 Rh 2.62-2.76, 1 Np 2.87
Rh: 0.1883 0.5000 0.8117  8 Rh 2.67-2.84
Rh: 0.1883 0.8117 0.5000  8 Rh 2.67-2.84
Rh: 0.3444 0.8405 0.8405  8 Rh 2.62-2.76, 1 Np 2.87
Rh: 0.5000 0.0000 0.5000  8 Rh 2.62-2.67, 2 Np 2.85
Rh: 0.5000 0.1883 0.8117  8 Rh 2.67-2.84
Rh: 0.5000 0.5000 0.0000  8 Rh 2.62-2.67, 2 Np 2.85
Rh: 0.5000 0.8117 0.1883  8 Rh 2.67-2.84
Rh: 0.6556 0.1595 0.1595  8 Rh 2.62-2.76, 1 Np 2.87
Rh: 0.8117 0.1883 0.5000  8 Rh 2.67-2.84
Rh: 0.8117 0.5000 0.1883  8 Rh 2.67-2.84
Rh: 0.8405 0.3444 0.8405  8 Rh 2.62-2.76, 1 Np 2.87
Rh: 0.8405 0.8405 0.3444  8 Rh 2.62-2.76, 1 Np 2.87



[5]
# AcTlSn2

An optimized crystal structure of AcTlSn2 (PBE, Alexandria).

Summary:
Offset from the most stable computed form = 0.159 eV per atom
Volume = 31.19 Å³ per atom
Magnetic moment = 0.000 Bohr magnetons per cell

Unit cell a=4.1862 b=4.1862 c=7.1198 alpha=90.00 beta=90.00 gamma=90.00
Last column: nearest neighbours and their distance in Å.
Element x y z (fractional)
Ac: 0.0000 0.0000 0.0000  2 Tl 3.56, 8 Sn 3.59
Tl: 0.0000 0.0000 0.5000  8 Sn 3.33, 2 Ac 3.56
Sn: 0.5000 0.5000 0.2865  1 Sn 3.04, 4 Tl 3.33
Sn: 0.5000 0.5000 0.7135  1 Sn 3.04, 4 Tl 3.33



[6]
# Pm2Pr2Tl3

An optimized crystal structure of Pm2Pr2Tl3 (PBE, Alexandria).

Summary:
Offset from the most stable computed form = 0.000 eV per atom
Volume = 30.39 Å³ per atom
Magnetic moment = 0.000 Bohr magnetons per cell

Unit cell a=4.5487 b=6.3835 c=7.8892 alpha=83.69 beta=89.96 gamma=69.25
Last column: nearest neighbours and their distance in Å.
Element x y z (fractional)
Pm: 0.1989 0.1020 0.1535  5 Tl 3.30-3.50, 4 Pr 3.52-3.67, 2 Pm 3.63-3.64
Pm: 0.8011 0.8980 0.8465  5 Tl 3.30-3.50, 4 Pr 3.52-3.67, 2 Pm 3.63-3.64
Pr: 0.0711 0.3582 0.7079  7 Tl 3.33-3.65, 1 Pr 3.51, 4 Pm 3.52-3.67
Pr: 0.9289 0.6418 0.2921  7 Tl 3.33-3.65, 1 Pr 3.51, 4 Pm 3.52-3.67
Tl: 0.3500 0.8000 0.5617  3 Pm 3.30-3.50, 5 Pr 3.33-3.65, 2 Tl 3.35-3.36
Tl: 0.5000 0.5000 0.0000  4 Pm 3.40-3.41, 4 Pr 3.41-3.42, 2 Tl 3.70
Tl: 0.6500 0.2000 0.4383  3 Pm 3.30-3.50, 5 Pr 3.33-3.65, 2 Tl 3.35-3.36